## PrErPb6 (PBE-GGA)

Data for PrErPb6 after structural relaxation.

Cell: 4.9103 4.9103 9.8088 Å, 90.00 90.00 90.00°
Last column: nearest neighbours and their distance in Å.
Fractional positions:
Pr 0.0000 0.0000 0.0000  12 Pb 3.47-3.51
Er 0.0000 0.0000 0.5000  12 Pb 3.43-3.47
Pb 0.0000 0.5000 0.2559  8 Pb 3.43-3.51, 2 Er 3.43, 2 Pr 3.51
Pb 0.0000 0.5000 0.7441  8 Pb 3.43-3.51, 2 Er 3.43, 2 Pr 3.51
Pb 0.5000 0.0000 0.2559  8 Pb 3.43-3.51, 2 Er 3.43, 2 Pr 3.51
Pb 0.5000 0.0000 0.7441  8 Pb 3.43-3.51, 2 Er 3.43, 2 Pr 3.51
Pb 0.5000 0.5000 0.0000  4 Pr 3.47, 8 Pb 3.51
Pb 0.5000 0.5000 0.5000  8 Pb 3.43, 4 Er 3.47

Calculated formation energy (eV per atom): -0.31
Space group: No. 123

## Pr5ErPb4 (PBE-GGA)

Data for Pr5ErPb4 after structural relaxation.

Cell: 8.9207 8.9207 7.3795 Å, 90.87 90.87 36.00°
Last column: nearest neighbours and their distance in Å.
Fractional positions:
Pr 0.0000 0.0000 0.0000  6 Pb 3.35-3.50, 2 Er 3.69
Pr 0.3329 0.3329 0.4938  5 Pb 3.24-3.47, 1 Pr 3.63
Pr 0.3338 0.3338 0.0025  5 Pb 3.29-3.48, 1 Pr 3.63
Pr 0.6662 0.6662 0.9975  5 Pb 3.29-3.48, 1 Pr 3.63
Pr 0.6671 0.6671 0.5062  5 Pb 3.24-3.47, 1 Pr 3.63
Er 0.0000 0.0000 0.5000  6 Pb 3.29-3.43
Pb 0.1728 0.1728 0.7473  7 Pr 3.28-3.50, 1 Er 3.43
Pb 0.4920 0.4920 0.7422  6 Pr 3.24-3.48, 2 Er 3.29, 1 Pb 3.59
Pb 0.5080 0.5080 0.2578  6 Pr 3.24-3.48, 2 Er 3.29, 1 Pb 3.59
Pb 0.8272 0.8272 0.2527  7 Pr 3.28-3.50, 1 Er 3.43

Calculated formation energy (eV per atom): -0.37
Space group: No. 12

## Pr2Er2Pb (PBE-GGA)

Data for Pr2Er2Pb after structural relaxation.

Cell: 12.0118 6.4458 8.8473 Å, 90.00 104.43 90.00°
Last column: nearest neighbours and their distance in Å.
Fractional positions:
Pr 0.1434 0.0995 0.0703  2 Pb 3.25-3.33, 4 Er 3.45-3.57, 1 Pr 3.60
Pr 0.1434 0.4005 0.5703  2 Pb 3.25-3.33, 4 Er 3.45-3.57, 1 Pr 3.60
Pr 0.2770 0.5949 0.9638  3 Pb 3.37-3.55, 1 Pr 3.67, 2 Er 3.74-3.76
Pr 0.2770 0.9051 0.4638  3 Pb 3.37-3.55, 1 Pr 3.67, 2 Er 3.74-3.76
Pr 0.7230 0.0949 0.5362  3 Pb 3.37-3.55, 1 Pr 3.67, 2 Er 3.74-3.76
Pr 0.7230 0.4051 0.0362  3 Pb 3.37-3.55, 1 Pr 3.67, 2 Er 3.74-3.76
Pr 0.8566 0.5995 0.4297  2 Pb 3.25-3.33, 4 Er 3.45-3.57, 1 Pr 3.60
Pr 0.8566 0.9005 0.9297  2 Pb 3.25-3.33, 4 Er 3.45-3.57, 1 Pr 3.60
Er 0.0475 0.5857 0.1854  1 Pb 3.27, 1 Er 3.38, 4 Pr 3.45-3.57
Er 0.0475 0.9143 0.6854  1 Pb 3.27, 1 Er 3.38, 4 Pr 3.45-3.57
Er 0.4708 0.1716 0.1672  3 Pb 3.12-3.18
Er 0.4708 0.3284 0.6672  3 Pb 3.12-3.18
Er 0.5292 0.6716 0.3328  3 Pb 3.12-3.18
Er 0.5292 0.8284 0.8328  3 Pb 3.12-3.18
Er 0.9525 0.0857 0.3146  1 Pb 3.27, 1 Er 3.38, 4 Pr 3.45-3.57
Er 0.9525 0.4143 0.8146  1 Pb 3.27, 1 Er 3.38, 4 Pr 3.45-3.57
Pb 0.3086 0.0842 0.8300  4 Er 3.12-3.27, 4 Pr 3.25-3.42
Pb 0.3086 0.4158 0.3300  4 Er 3.12-3.27, 4 Pr 3.25-3.42
Pb 0.6914 0.5842 0.6700  4 Er 3.12-3.27, 4 Pr 3.25-3.42
Pb 0.6914 0.9158 0.1700  4 Er 3.12-3.27, 4 Pr 3.25-3.42

Calculated formation energy (eV per atom): -0.16
Space group: No. 14